Entry 1
First-principles (PBE) data for K2MoPt after structural relaxation, as listed in Alexandria via LeMat-Bulk.

abc: 20.4854 2.9280 4.4526
angles: 90.00 102.25 90.00
With the nearest neighbours (Å) after each atom.
Atoms (fractional coordinates):
K 0.1454 0.0000 0.1419  2 K 2.93, 2 Pt 3.26
K 0.3546 0.5000 0.8581  2 K 2.93, 2 Pt 3.26
K 0.6454 0.5000 0.1419  2 K 2.93, 2 Pt 3.26
K 0.8546 0.0000 0.8581  2 K 2.93, 2 Pt 3.26
Mo 0.0000 0.0000 0.5000  4 Pt 2.66, 2 Mo 2.93
Mo 0.5000 0.5000 0.5000  4 Pt 2.66, 2 Mo 2.93
Pt 0.0000 0.5000 0.0000  4 Mo 2.66, 2 Pt 2.93
Pt 0.5000 0.0000 0.0000  4 Mo 2.66, 2 Pt 2.93

Output
D(E_F) = 3.157 states/eV/f.u.
Space group = C2/m (12)

Entry 2
First-principles (PBE) data for K2MoPt after structural relaxation, as listed in Alexandria via LeMat-Bulk.

abc: 7.3623 4.2535 9.8370
angles: 90.00 104.75 90.00
With the nearest neighbours (Å) after each atom.
Atoms (fractional coordinates):
K 0.0000 0.0000 0.0000  3 Pt 3.44, 3 Mo 3.66
K 0.1865 0.0000 0.5480  3 Mo 3.50, 3 Pt 3.73
K 0.5000 0.5000 0.0000  3 Pt 3.44, 3 Mo 3.66
K 0.6865 0.5000 0.5480  3 Mo 3.50, 3 Pt 3.73
Mo 0.4307 0.0000 0.2856  3 Pt 2.47
Mo 0.9307 0.5000 0.2856  3 Pt 2.47
Pt 0.2532 0.5000 0.2532  3 Mo 2.47
Pt 0.7532 0.0000 0.2532  3 Mo 2.47

Output
D(E_F) = 2.207 states/eV/f.u.
Space group = Cm (8)

Entry 3
First-principles (PBE) data for K2MoPt after structural relaxation, as listed in Alexandria via LeMat-Bulk.

abc: 4.2370 5.9301 10.3703
angles: 90.00 90.00 90.00
With the nearest neighbours (Å) after each atom.
Atoms (fractional coordinates):
K 0.0000 0.0000 0.0000  4 K 3.59-3.80, 4 Mo 3.59-3.80, 4 Pt 3.74
K 0.0000 0.5000 0.1954  4 Pt 3.56-3.77, 4 K 3.59-3.80, 4 Mo 3.82
K 0.5000 0.0000 0.6954  4 Pt 3.56-3.77, 4 K 3.59-3.80, 4 Mo 3.82
K 0.5000 0.5000 0.5000  4 K 3.59-3.80, 4 Mo 3.59-3.80, 4 Pt 3.74
Mo 0.0000 0.5000 0.8045  2 Pt 2.43
Mo 0.5000 0.0000 0.3045  2 Pt 2.43
Pt 0.0000 0.0000 0.4200  2 Mo 2.43
Pt 0.5000 0.5000 0.9200  2 Mo 2.43

Output
D(E_F) = 4.244 states/eV/f.u.
Space group = Imm2 (44)

entry 2 comes first in stability; the runner-up is 3.5 kJ/mol of atoms higher.

Entry 1
First-principles (PBE) data for KMoPt2 after structural relaxation, as listed in Alexandria via LeMat-Bulk.

abc: 2.7960 2.7960 9.8600
angles: 90.00 90.00 90.00
With the nearest neighbours (Å) after each atom.
Atoms (fractional coordinates):
K 0.0000 0.0000 0.0000  4 K 2.80
Mo 0.5000 0.5000 0.3370  4 Pt 2.73, 4 Mo 2.80
Pt 0.0000 0.0000 0.5280  4 Mo 2.73, 8 Pt 2.80-2.88
Pt 0.5000 0.5000 0.7409  8 Pt 2.80-2.88

Output
D(E_F) = 2.491 states/eV/f.u.
Space group = P4mm (99)

Entry 2
First-principles (PBE) data for KMoPt2 after structural relaxation, as listed in Alexandria via LeMat-Bulk.

abc: 4.1299 4.1299 8.5056
angles: 90.00 90.00 90.00
With the nearest neighbours (Å) after each atom.
Atoms (fractional coordinates):
K 0.0000 0.0000 0.0000  8 Pt 2.92-2.96, 4 Mo 2.96
K 0.5000 0.5000 0.5000  8 Pt 2.92-2.96, 4 Mo 2.96
Mo 0.0000 0.5000 0.7500  8 Pt 2.92-2.96, 4 K 2.96
Mo 0.5000 0.0000 0.2500  8 Pt 2.92-2.96, 4 K 2.96
Pt 0.0000 0.0000 0.5000  4 K 2.92, 4 Mo 2.96, 4 Pt 2.96
Pt 0.0000 0.5000 0.2500  4 Mo 2.92, 4 K 2.96, 4 Pt 2.96
Pt 0.5000 0.0000 0.7500  4 Mo 2.92, 4 K 2.96, 4 Pt 2.96
Pt 0.5000 0.5000 0.0000  4 K 2.92, 4 Mo 2.96, 4 Pt 2.96

Output
D(E_F) = 3.480 states/eV/f.u.
Space group = I-4m2 (119)

entry 1 comes first in stability; the runner-up is 43.3 kJ/mol of atoms higher.

Entry 1
First-principles (PBE) data for KMoPt2 after structural relaxation, as listed in Alexandria via LeMat-Bulk.

abc: 2.8725 2.8725 30.3366
angles: 90.00 90.00 120.00
With the nearest neighbours (Å) after each atom.
Atoms (fractional coordinates):
K 0.0000 0.0000 0.0000  6 K 2.87
K 0.3333 0.6667 0.6667  6 K 2.87
K 0.6667 0.3333 0.3333  6 K 2.87
Mo 0.0000 0.0000 0.5000  6 Pt 2.77, 6 Mo 2.87
Mo 0.3333 0.6667 0.1667  6 Pt 2.77, 6 Mo 2.87
Mo 0.6667 0.3333 0.8333  6 Pt 2.77, 6 Mo 2.87
Pt 0.0000 0.0000 0.2396  3 Mo 2.77, 6 Pt 2.87
Pt 0.0000 0.0000 0.7604  3 Mo 2.77, 6 Pt 2.87
Pt 0.3333 0.6667 0.4271  3 Mo 2.77, 6 Pt 2.87
Pt 0.3333 0.6667 0.9063  3 Mo 2.77, 6 Pt 2.87
Pt 0.6667 0.3333 0.0937  3 Mo 2.77, 6 Pt 2.87
Pt 0.6667 0.3333 0.5729  3 Mo 2.77, 6 Pt 2.87

Output
D(E_F) = 3.508 states/eV/f.u.
Space group = R-3m (166)

Entry 2
First-principles (PBE) data for KMoPt2 after structural relaxation, as listed in Alexandria via LeMat-Bulk.

abc: 2.8977 2.8977 9.0020
angles: 90.00 90.00 90.00
With the nearest neighbours (Å) after each atom.
Atoms (fractional coordinates):
K 0.0000 0.0000 0.0000  4 K 2.90
Mo 0.0000 0.0000 0.5000  8 Pt 2.73, 4 Mo 2.90
Pt 0.5000 0.5000 0.2999  4 Mo 2.73, 4 Pt 2.90
Pt 0.5000 0.5000 0.7001  4 Mo 2.73, 4 Pt 2.90

Output
D(E_F) = 3.467 states/eV/f.u.
Space group = P4/mmm (123)

Entry 3
First-principles (PBE) data for KMoPt2 after structural relaxation, as listed in Alexandria via LeMat-Bulk.

abc: 7.6577 7.6577 7.0863
angles: 90.00 90.00 90.00
With the nearest neighbours (Å) after each atom.
Atoms (fractional coordinates):
K 0.0000 0.0000 0.0000  8 Pt 3.34-3.50, 2 Mo 3.54
K 0.0000 0.5000 0.2500  8 Pt 3.34-3.50, 2 Mo 3.54
K 0.5000 0.0000 0.7500  8 Pt 3.34-3.50, 2 Mo 3.54
K 0.5000 0.5000 0.5000  8 Pt 3.34-3.50, 2 Mo 3.54
Mo 0.0000 0.0000 0.5000  4 Pt 2.45
Mo 0.0000 0.5000 0.7500  4 Pt 2.45
Mo 0.5000 0.0000 0.2500  4 Pt 2.45
Mo 0.5000 0.5000 0.0000  4 Pt 2.45
Pt 0.1625 0.7500 0.6250  2 Mo 2.45
Pt 0.2500 0.1625 0.3750  2 Mo 2.45
Pt 0.2500 0.3375 0.8750  2 Mo 2.45
Pt 0.3375 0.7500 0.1250  2 Mo 2.45
Pt 0.6625 0.2500 0.1250  2 Mo 2.45
Pt 0.7500 0.6625 0.8750  2 Mo 2.45
Pt 0.7500 0.8375 0.3750  2 Mo 2.45
Pt 0.8375 0.2500 0.6250  2 Mo 2.45

Output
D(E_F) = 4.686 states/eV/f.u.
Space group = I-42d (122)

Entry 4
First-principles (PBE) data for KMoPt2 after structural relaxation, as listed in Alexandria via LeMat-Bulk.

abc: 9.6435 2.8016 6.4162
angles: 90.00 97.73 90.00
With the nearest neighbours (Å) after each atom.
Atoms (fractional coordinates):
K 0.0000 0.0000 0.0000  2 K 2.80, 1 Pt 3.09
K 0.5000 0.5000 0.0000  2 K 2.80, 1 Pt 3.09
Mo 0.2151 0.0000 0.6080  5 Pt 2.60-2.77, 2 Mo 2.80
Mo 0.7151 0.5000 0.6080  5 Pt 2.60-2.77, 2 Mo 2.80
Pt 0.2657 0.5000 0.2841  2 Mo 2.61, 4 Pt 2.80-2.81
Pt 0.4878 0.0000 0.5156  3 Mo 2.60-2.77, 4 Pt 2.80-2.81
Pt 0.7657 0.0000 0.2841  2 Mo 2.61, 4 Pt 2.80-2.81
Pt 0.9878 0.5000 0.5156  3 Mo 2.60-2.77, 4 Pt 2.80-2.81

Output
D(E_F) = 3.105 states/eV/f.u.
Space group = Cm (8)

entry 2 comes first in stability; the runner-up is 20.8 kJ/mol of atoms higher.

Entry 1
First-principles (PBE) data for KMo2Pt2 after structural relaxation, as listed in Alexandria via LeMat-Bulk.

abc: 4.8393 4.8393 8.9705
angles: 90.00 90.00 90.00
With the nearest neighbours (Å) after each atom.
Atoms (fractional coordinates):
K 0.0000 0.0000 0.0000  8 Pt 3.30, 10 Mo 3.31-3.62
K 0.5000 0.5000 0.5000  8 Pt 3.30, 10 Mo 3.31-3.62
Mo 0.0000 0.0000 0.3685  1 Mo 2.36, 4 Pt 2.64
Mo 0.0000 0.0000 0.6315  1 Mo 2.36, 4 Pt 2.64
Mo 0.5000 0.5000 0.1315  1 Mo 2.36, 4 Pt 2.64
Mo 0.5000 0.5000 0.8685  1 Mo 2.36, 4 Pt 2.64
Pt 0.0000 0.5000 0.2500  4 Mo 2.64
Pt 0.0000 0.5000 0.7500  4 Mo 2.64
Pt 0.5000 0.0000 0.2500  4 Mo 2.64
Pt 0.5000 0.0000 0.7500  4 Mo 2.64

Output
D(E_F) = 3.241 states/eV/f.u.
Space group = I4/mmm (139)

Entry 2
First-principles (PBE) data for KMo2Pt2 after structural relaxation, as listed in Alexandria via LeMat-Bulk.

abc: 8.2340 8.2340 2.7237
angles: 90.00 90.00 90.00
With the nearest neighbours (Å) after each atom.
Atoms (fractional coordinates):
K 0.0000 0.0000 0.0000  2 K 2.72
K 0.5000 0.5000 0.0000  2 K 2.72
Mo 0.1138 0.3862 0.0000  3 Mo 2.65-2.72, 6 Pt 2.76-2.84
Mo 0.3862 0.8862 0.0000  3 Mo 2.65-2.72, 6 Pt 2.76-2.84
Mo 0.6138 0.1138 0.0000  3 Mo 2.65-2.72, 6 Pt 2.76-2.84
Mo 0.8862 0.6138 0.0000  3 Mo 2.65-2.72, 6 Pt 2.76-2.84
Pt 0.1724 0.6724 0.5000  2 Pt 2.72, 6 Mo 2.76-2.84
Pt 0.3276 0.1724 0.5000  2 Pt 2.72, 6 Mo 2.76-2.84
Pt 0.6724 0.8276 0.5000  2 Pt 2.72, 6 Mo 2.76-2.84
Pt 0.8276 0.3276 0.5000  2 Pt 2.72, 6 Mo 2.76-2.84

Output
D(E_F) = 4.262 states/eV/f.u.
Space group = P4/mbm (127)

entry 2 comes first in stability; the runner-up is 33.3 kJ/mol of atoms higher.

Entry 1
First-principles (PBE) data for KMo3Pt after structural relaxation, as listed in Alexandria via LeMat-Bulk.

abc: 4.9620 4.9620 4.9620
angles: 90.00 90.00 90.00
With the nearest neighbours (Å) after each atom.
Atoms (fractional coordinates):
K 0.0000 0.0000 0.0000  12 Mo 3.51
Mo 0.0000 0.5000 0.5000  2 Pt 2.48
Mo 0.5000 0.0000 0.5000  2 Pt 2.48
Mo 0.5000 0.5000 0.0000  2 Pt 2.48
Pt 0.5000 0.5000 0.5000  6 Mo 2.48

Output
D(E_F) = 6.293 states/eV/f.u.
Space group = Pm-3m (221)

Entry 2
First-principles (PBE) data for KMo3Pt after structural relaxation, as listed in Alexandria via LeMat-Bulk.

abc: 4.4291 4.4291 4.4291
angles: 90.00 90.00 90.00
With the nearest neighbours (Å) after each atom.
Atoms (fractional coordinates):
K 0.0000 0.0000 0.0000  6 Mo 2.21
Mo 0.0000 0.0000 0.5000  2 K 2.21
Mo 0.0000 0.5000 0.0000  2 K 2.21
Mo 0.5000 0.0000 0.0000  2 K 2.21
Pt 0.5000 0.5000 0.5000  12 Mo 3.13

Output
D(E_F) = 3.597 states/eV/f.u.
Space group = Pm-3m (221)

entry 1 comes first in stability; the runner-up is 103.3 kJ/mol of atoms higher.

Entry 1
First-principles (PBE) data for KRbMo3 after structural relaxation, as listed in Alexandria via LeMat-Bulk.

abc: 6.4003 6.4003 6.4003
angles: 90.00 90.00 90.00
With the nearest neighbours (Å) after each atom.
Atoms (fractional coordinates):
K 0.0000 0.0000 0.0000  6 Mo 3.20
Rb 0.5000 0.5000 0.5000  12 Mo 4.53
Mo 0.0000 0.0000 0.5000  2 K 3.20
Mo 0.0000 0.5000 0.0000  2 K 3.20
Mo 0.5000 0.0000 0.0000  2 K 3.20

Output
D(E_F) = 1.686 states/eV/f.u.
Space group = Pm-3m (221)

Entry 2
First-principles (PBE) data for KRbMo3 after structural relaxation, as listed in Alexandria via LeMat-Bulk.

abc: 4.9125 4.9125 4.9125
angles: 90.00 90.00 90.00
With the nearest neighbours (Å) after each atom.
Atoms (fractional coordinates):
K 0.0000 0.0000 0.0000  12 Mo 3.47
Rb 0.5000 0.5000 0.5000  6 Mo 2.46
Mo 0.0000 0.5000 0.5000  2 Rb 2.46
Mo 0.5000 0.0000 0.5000  2 Rb 2.46
Mo 0.5000 0.5000 0.0000  2 Rb 2.46

Output
D(E_F) = 8.440 states/eV/f.u.
Space group = Pm-3m (221)

entry 1 comes first in stability; the runner-up is 18.4 kJ/mol of atoms higher.